Entry 1:
{"formula": "Pr2RuO", "functional": "PBE-GGA", "state": "relaxed", "lattice_angstrom": [[-0.909, 1.491, 3.003], [1.715, -0.784, 2.917], [5.556, 6.386, 0.519]], "species": ["Pr", "Pr", "Ru", "O"], "frac_coords": [[0.105, 0.105, 0.686], [0.895, 0.895, 0.314], [0.000, 0.000, 0.000], [0.500, 0.500, 0.500]], "spacegroup": "R-3m", "n_ef_per_ev_cell": 2.86, "e_form_raw_ev_per_atom": -0.735, "total_energy_ev_per_atom": -6.6829, "e_above_lowest_polymorph_mev_per_atom": 280.0}

***

Entry 2:
{"formula": "Zr2TaBI", "functional": "PBE-GGA", "state": "relaxed", "lattice_angstrom": [[4.601, 0.000, 0.000], [0.000, 4.851, 0.000], [0.000, 0.000, 4.601]], "species": ["I", "B", "Zr", "Zr", "Ta"], "frac_coords": [[0.000, 0.500, 0.000], [0.000, 0.000, 0.000], [0.000, 0.000, 0.500], [0.500, 0.000, 0.000], [0.500, 0.500, 0.500]], "spacegroup": "P4/mmm", "n_ef_per_ev_cell": 7.07, "e_form_raw_ev_per_atom": 0.826, "total_energy_ev_per_atom": -6.6097}